Model A:
Entry from Alexandria: a geometry-optimized La4SnRh structure (PBE-GGA).

Its crystal system is monoclinic. As for the density of states at the Fermi level: 14.125 states/eV/cell. As for the total magnetic moment: 0.0 μB/cell.

Lattice parameters (Å, degrees): 6.364 7.144 8.474 90.00 94.89 90.00
Fractional positions:
La 0.107 0.250 0.072
La 0.164 0.750 0.377
La 0.389 0.508 0.777
La 0.389 0.992 0.777
La 0.611 0.008 0.223
La 0.611 0.492 0.223
La 0.836 0.250 0.623
La 0.893 0.750 0.928
Sn 0.288 0.250 0.446
Sn 0.712 0.750 0.554
Rh 0.323 0.750 0.063
Rh 0.677 0.250 0.937



Model B:
Entry from Alexandria: a geometry-optimized La4SnRh structure (PBE-GGA).

Its crystal system is monoclinic. As for the density of states at the Fermi level: 10.837 states/eV/cell. As for the total magnetic moment: 0.0 μB/cell.

Lattice parameters (Å, degrees): 8.634 8.634 8.130 104.96 104.96 40.99
Fractional positions:
La 0.064 0.781 0.562
La 0.200 0.444 0.864
La 0.219 0.936 0.938
La 0.444 0.200 0.364
La 0.556 0.800 0.636
La 0.781 0.064 0.062
La 0.800 0.556 0.136
La 0.936 0.219 0.438
Sn 0.362 0.638 0.250
Sn 0.638 0.362 0.750
Rh 0.000 0.500 0.500
Rh 0.500 0.000 0.000



Least stable structure: model B



Model A:
Entry from Alexandria: a geometry-optimized La2Sn6Rh structure (PBE-GGA).

Its crystal system is orthorhombic. As for the density of states at the Fermi level: 5.053 states/eV/cell. As for the total magnetic moment: 0.0 μB/cell.

Lattice parameters (Å, degrees): 4.553 12.366 12.366 20.87 90.00 90.00
Fractional positions:
La 0.000 0.000 0.000
La 0.000 0.335 0.335
Sn 0.000 0.612 0.612
Sn 0.000 0.731 0.731
Sn 0.500 0.113 0.113
Sn 0.500 0.233 0.233
Sn 0.500 0.447 0.447
Sn 0.500 0.871 0.871
Rh 0.500 0.554 0.554



Model B:
Entry from Alexandria: a geometry-optimized La2Sn6Rh structure (PBE-GGA).

Its crystal system is orthorhombic. As for the density of states at the Fermi level: 4.273 states/eV/cell. As for the total magnetic moment: 0.0 μB/cell.

Lattice parameters (Å, degrees): 8.551 8.551 4.380 90.00 90.00 125.20
Fractional positions:
La 0.180 0.820 0.000
La 0.820 0.180 0.000
Sn 0.160 0.469 0.500
Sn 0.288 0.288 0.000
Sn 0.469 0.160 0.500
Sn 0.531 0.840 0.500
Sn 0.712 0.712 0.000
Sn 0.840 0.531 0.500
Rh 0.500 0.500 0.500



Least stable structure: model B



Model A:
Entry from Alexandria: a geometry-optimized La2Sn3Rh structure (PBE-GGA).

Its crystal system is orthorhombic. As for the density of states at the Fermi level: 2.898 states/eV/cell. As for the total magnetic moment: 0.0 μB/cell.

Lattice parameters (Å, degrees): 4.225 4.840 8.069 90.00 90.00 90.00
Fractional positions:
La 0.000 0.000 0.000
La 0.000 0.500 0.463
Sn 0.500 0.000 0.613
Sn 0.500 0.500 0.154
Sn 0.500 0.500 0.803
Rh 0.500 0.000 0.285



Model B:
Entry from Alexandria: a geometry-optimized La2Sn3Rh structure (PBE-GGA).

Its crystal system is monoclinic. As for the density of states at the Fermi level: 4.482 states/eV/cell. As for the total magnetic moment: 0.0 μB/cell.

Lattice parameters (Å, degrees): 6.186 6.186 7.658 127.17 127.17 46.11
Fractional positions:
La 0.000 0.000 0.000
La 0.118 0.118 0.598
Sn 0.377 0.377 0.185
Sn 0.446 0.446 0.664
Sn 0.735 0.735 0.386
Rh 0.749 0.749 0.036



Least stable structure: model A



Model A:
Entry from Alexandria: a geometry-optimized La2TlSnRh structure (PBE-GGA).

Its crystal system is tetragonal. As for the density of states at the Fermi level: 3.772 states/eV/cell. As for the total magnetic moment: 0.0 μB/cell.

Lattice parameters (Å, degrees): 5.503 5.503 5.125 90.00 90.00 90.00
Fractional positions:
La 0.000 0.500 0.000
La 0.500 0.000 0.000
Tl 0.000 0.000 0.500
Sn 0.500 0.500 0.500
Rh 0.500 0.500 0.000



Model B:
Entry from Alexandria: a geometry-optimized La2TlSnRh structure (PBE-GGA).

Its crystal system is tetragonal. As for the density of states at the Fermi level: 2.820 states/eV/cell. As for the total magnetic moment: 0.0 μB/cell.

Lattice parameters (Å, degrees): 5.462 5.462 5.206 90.00 90.00 90.00
Fractional positions:
La 0.000 0.500 0.000
La 0.500 0.000 0.000
Tl 0.000 0.000 0.500
Sn 0.500 0.500 0.500
Rh 0.000 0.000 0.000



Least stable structure: model B



Model A:
Entry from Alexandria: a geometry-optimized Sr2LaRh structure (PBE-GGA).

Its crystal system is monoclinic. As for the density of states at the Fermi level: 2.286 states/eV/cell. As for the total magnetic moment: 0.0 μB/cell.

Lattice parameters (Å, degrees): 4.215 4.215 10.720 101.39 101.39 59.98
Fractional positions:
Sr 0.000 0.000 0.000
Sr 0.216 0.216 0.652
La 0.438 0.438 0.312
Rh 0.728 0.728 0.183



Model B:
Entry from Alexandria: a geometry-optimized Sr2LaRh structure (PBE-GGA).

Its crystal system is tetragonal. As for the density of states at the Fermi level: 3.451 states/eV/cell. As for the total magnetic moment: 0.0 μB/cell.

Lattice parameters (Å, degrees): 4.586 4.586 5.798 90.00 90.00 90.00
Fractional positions:
Sr 0.000 0.500 0.000
Sr 0.500 0.000 0.000
La 0.000 0.000 0.500
Rh 0.500 0.500 0.500



Least stable structure: model B



Model A:
Entry from Alexandria: a geometry-optimized Sr2LaRh structure (PBE-GGA).

Its crystal system is orthorhombic. As for the density of states at the Fermi level: 3.171 states/eV/cell. As for the total magnetic moment: 0.0 μB/cell.

Lattice parameters (Å, degrees): 6.994 6.994 6.994 147.54 126.45 64.03
Fractional positions:
Sr 0.000 0.000 0.000
Sr 0.679 0.179 0.500
La 0.354 0.354 0.000
Rh 0.206 0.706 0.500



Model B:
Entry from Alexandria: a geometry-optimized Sr2LaRh structure (PBE-GGA).

Its crystal system is cubic. As for the density of states at the Fermi level: 4.387 states/eV/cell. As for the total magnetic moment: 0.0 μB/cell.

Lattice parameters (Å, degrees): 5.553 5.553 5.553 60.00 60.00 60.00
Fractional positions:
Sr 0.250 0.250 0.250
Sr 0.750 0.750 0.750
La 0.000 0.000 0.000
Rh 0.500 0.500 0.500



Least stable structure: model B



Model A:
Entry from Alexandria: a geometry-optimized Sr2LaRh structure (PBE-GGA).

Its crystal system is tetragonal. As for the density of states at the Fermi level: 2.917 states/eV/cell. As for the total magnetic moment: 0.0 μB/cell.

Lattice parameters (Å, degrees): 3.741 3.741 10.256 90.00 90.00 90.00
Fractional positions:
Sr 0.000 0.000 0.000
Sr 0.500 0.500 0.343
La 0.000 0.000 0.666
Rh 0.500 0.500 0.795



Model B:
Entry from Alexandria: a geometry-optimized Sr2LaRh structure (PBE-GGA).

Its crystal system is trigonal. As for the density of states at the Fermi level: 6.703 states/eV/cell. As for the total magnetic moment: 0.1 μB/cell.

Lattice parameters (Å, degrees): 11.009 11.009 11.009 20.61 20.61 20.61
Fractional positions:
Sr 0.225 0.225 0.225
Sr 0.775 0.775 0.775
La 0.000 0.000 0.000
Rh 0.500 0.500 0.500



Least stable structure: model B



Model A:
Entry from Alexandria: a geometry-optimized Sr2LaRh structure (PBE-GGA).

Its crystal system is orthorhombic. As for the density of states at the Fermi level: 4.868 states/eV/cell. As for the total magnetic moment: 0.0 μB/cell.

Lattice parameters (Å, degrees): 3.659 3.659 10.165 90.00 90.00 90.40
Fractional positions:
Sr 0.000 0.000 0.174
Sr 0.000 0.000 0.826
La 0.500 0.500 0.500
Rh 0.500 0.500 0.000



Model B:
Entry from Alexandria: a geometry-optimized Sr2LaRh structure (PBE-GGA).

Its crystal system is orthorhombic. As for the density of states at the Fermi level: 4.466 states/eV/cell. As for the total magnetic moment: 0.0 μB/cell.

Lattice parameters (Å, degrees): 7.660 7.660 4.200 90.00 90.00 138.14
Fractional positions:
Sr 0.150 0.850 0.000
Sr 0.850 0.150 0.000
La 0.500 0.500 0.500
Rh 0.000 0.000 0.500



Least stable structure: model A



Model A:
Entry from Alexandria: a geometry-optimized LaTa3Rh structure (PBE-GGA).

Its crystal system is cubic. As for the density of states at the Fermi level: 7.005 states/eV/cell. As for the total magnetic moment: 0.0 μB/cell.

Lattice parameters (Å, degrees): 4.828 4.828 4.828 90.00 90.00 90.00
Fractional positions:
La 0.000 0.000 0.000
Ta 0.000 0.000 0.500
Ta 0.000 0.500 0.000
Ta 0.500 0.000 0.000
Rh 0.500 0.500 0.500



Model B:
Entry from Alexandria: a geometry-optimized LaTa3Rh structure (PBE-GGA).

Its crystal system is cubic. As for the density of states at the Fermi level: 11.515 states/eV/cell. As for the total magnetic moment: 0.0 μB/cell.

Lattice parameters (Å, degrees): 4.929 4.929 4.929 90.00 90.00 90.00
Fractional positions:
La 0.000 0.000 0.000
Ta 0.000 0.500 0.500
Ta 0.500 0.000 0.500
Ta 0.500 0.500 0.000
Rh 0.500 0.500 0.500



Least stable structure: model A



Model A:
Entry from Alexandria: a geometry-optimized La3TbRh structure (PBE-GGA).

Its crystal system is cubic. As for the density of states at the Fermi level: 9.688 states/eV/cell. As for the total magnetic moment: 0.0 μB/cell.

Lattice parameters (Å, degrees): 5.637 5.637 5.637 90.00 90.00 90.00
Fractional positions:
La 0.000 0.000 0.500
La 0.000 0.500 0.000
La 0.500 0.000 0.000
Tb 0.500 0.500 0.500
Rh 0.000 0.000 0.000



Model B:
Entry from Alexandria: a geometry-optimized La3TbRh structure (PBE-GGA).

Its crystal system is monoclinic. As for the density of states at the Fermi level: 12.922 states/eV/cell. As for the total magnetic moment: 0.0 μB/cell.

Lattice parameters (Å, degrees): 6.493 6.493 14.245 112.86 112.86 34.73
Fractional positions:
La 0.000 0.000 0.000
La 0.007 0.007 0.364
La 0.342 0.342 0.761
La 0.349 0.349 0.128
La 0.557 0.557 0.611
La 0.671 0.671 0.896
Tb 0.681 0.681 0.243
Tb 0.788 0.788 0.511
Rh 0.338 0.338 0.389
Rh 0.998 0.998 0.728



Model C:
Entry from Alexandria: a geometry-optimized La3TbRh structure (PBE-GGA).

Its crystal system is orthorhombic. As for the density of states at the Fermi level: 14.715 states/eV/cell. As for the total magnetic moment: 0.0 μB/cell.

Lattice parameters (Å, degrees): 7.890 6.756 6.434 90.00 90.00 90.00
Fractional positions:
La 0.000 0.147 0.000
La 0.249 0.315 0.500
La 0.251 0.685 0.000
La 0.500 0.853 0.500
La 0.749 0.685 0.000
La 0.751 0.315 0.500
Tb 0.000 0.839 0.505
Tb 0.500 0.161 0.005
Rh 0.000 0.502 0.250
Rh 0.500 0.498 0.750



Least stable structure: model A



Model A:
Entry from Alexandria: a geometry-optimized La2TcRh structure (PBE-GGA).

Its crystal system is cubic. As for the density of states at the Fermi level: 5.565 states/eV/cell. As for the total magnetic moment: 1.6 μB/cell.

Lattice parameters (Å, degrees): 4.945 4.945 4.945 60.00 60.00 60.00
Fractional positions:
La 0.000 0.000 0.000
La 0.250 0.250 0.250
Tc 0.500 0.500 0.500
Rh 0.750 0.750 0.750



Model B:
Entry from Alexandria: a geometry-optimized La2TcRh structure (PBE-GGA).

Its crystal system is tetragonal. As for the density of states at the Fermi level: 5.324 states/eV/cell. As for the total magnetic moment: 0.0 μB/cell.

Lattice parameters (Å, degrees): 6.003 6.003 6.003 139.73 139.73 58.26
Fractional positions:
La 0.000 0.000 0.000
La 0.750 0.250 0.500
Tc 0.500 0.500 0.000
Rh 0.250 0.750 0.500



Least stable structure: model A



Model A:
Entry from Alexandria: a geometry-optimized LaTc2Rh2 structure (PBE-GGA).

Its crystal system is tetragonal. As for the density of states at the Fermi level: 10.617 states/eV/cell. As for the total magnetic moment: 0.0 μB/cell.

Lattice parameters (Å, degrees): 7.817 7.817 2.831 90.00 90.00 90.00
Fractional positions:
La 0.000 0.000 0.000
La 0.500 0.500 0.000
Tc 0.115 0.385 0.000
Tc 0.385 0.885 0.000
Tc 0.615 0.115 0.000
Tc 0.885 0.615 0.000
Rh 0.176 0.676 0.500
Rh 0.324 0.176 0.500
Rh 0.676 0.824 0.500
Rh 0.824 0.324 0.500



Model B:
Entry from Alexandria: a geometry-optimized LaTc2Rh2 structure (PBE-GGA).

Its crystal system is tetragonal. As for the density of states at the Fermi level: 5.159 states/eV/cell. As for the total magnetic moment: 0.0 μB/cell.

Lattice parameters (Å, degrees): 6.068 6.068 6.068 138.81 138.81 59.67
Fractional positions:
La 0.000 0.000 0.000
Tc 0.393 0.393 0.000
Tc 0.607 0.607 0.000
Rh 0.250 0.750 0.500
Rh 0.750 0.250 0.500



Model C:
Entry from Alexandria: a geometry-optimized LaTc2Rh2 structure (PBE-GGA).

Its crystal system is tetragonal. As for the density of states at the Fermi level: 3.635 states/eV/cell. As for the total magnetic moment: 0.0 μB/cell.

Lattice parameters (Å, degrees): 4.803 4.803 4.615 90.00 90.00 90.00
Fractional positions:
La 0.000 0.000 0.000
Tc 0.500 0.500 0.000
Tc 0.500 0.500 0.500
Rh 0.000 0.500 0.500
Rh 0.500 0.000 0.500



Least stable structure: model C